ZnHS2Cl | Alexandria via LeMat-Bulk | GGA-PBE | relaxed; calculated density = 2.40 g/cm³; total magnetization = 0.72 μB per atom; polymorph energy (0 for the lowest one) = 0.447 eV per atom; energy = -2.169 eV per atom
1.0
4.770 0.000 0.000
0.000 4.770 0.000
0.000 0.000 5.055
Zn H S Cl
1 1 2 1
direct
0.000 0.000 0.000
0.500 0.500 0.500
0.000 0.500 0.000
0.500 0.000 0.000
0.000 0.000 0.500